[1]
LiZnAg2: relaxed, GGA-PBEsol.

Properties
Mass density: 7.813 Mg/m³
Final energy: -10.74 eV per cell

a = 2.823 Å, b = 3.983 Å, c = 5.446 Å
α = 90.00°, β = 90.00°, γ = 90.00°
Fractional positions:
Ag 0.500 0.500 0.264
Ag 0.000 0.000 0.984
Zn 0.500 0.500 0.756
Li 0.000 0.000 0.496

=====

[2]
LiZnAg2: relaxed, GGA-PBEsol.

Properties
Mass density: 7.679 Mg/m³
Final energy: -10.56 eV per cell

a = 2.852 Å, b = 2.852 Å, c = 8.994 Å
α = 80.88°, β = 80.88°, γ = 60.00°
Fractional positions:
Ag 0.251 0.251 0.248
Ag 0.750 0.750 0.751
Li 0.500 0.500 0.500
Zn 0.000 0.000 0.000

=====

[3]
Li2ZnAg: relaxed, GGA-PBEsol.

Properties
Mass density: 5.154 Mg/m³
Final energy: -9.49 eV per cell

a = 2.828 Å, b = 4.759 Å, c = 4.779 Å
α = 100.55°, β = 107.21°, γ = 90.00°
Fractional positions:
Li 0.006 0.001 0.012
Li 0.243 0.747 0.485
Zn 0.498 0.491 0.996
Ag 0.753 0.260 0.507

=====

[4]
Li2ZnAg: relaxed, GGA-PBEsol.

Properties
Mass density: 5.208 Mg/m³
Final energy: -9.49 eV per cell

a = 2.792 Å, b = 4.503 Å, c = 4.747 Å
α = 90.00°, β = 90.00°, γ = 90.00°
Fractional positions:
Li 0.000 0.000 0.044
Li 0.000 0.500 0.703
Zn 0.500 0.000 0.541
Ag 0.500 0.500 0.212

=====

| no. | ΔH_f (0 K) (kJ/mol of formula units) | magnetic moment (μB per formula unit) |
| --- | --- | --- |
| 1 | -55 | 0.0 |
| 2 | -38 | 0.0 |
| 3 | -64 | 0.0 |
| 4 | -64 | 0.0 |